VASP calculation (PBE) on Cs2InOsCl6 after structural relaxation.

Computed properties:
- SG: Fm-3m
- Total moment: 1.000 μB/f.u.
- E_form (uncorrected): -1.0947 eV/atom
- Mass density: 4.12 Mg/m³

The structure in extended XYZ format:
```
10
Lattice="7.642 0.000 0.000 0.000 7.642 0.000 3.821 3.821 5.402" Properties=species:S:1:pos:R:3 pbc="T T T"
Cs 7.642 3.821 2.701
Cs 3.821 7.642 2.701
Cl 3.821 3.821 3.009
Cl 7.642 7.642 2.392
Cl 1.692 1.692 0.000
Cl 5.950 5.950 0.000
Cl 5.950 1.692 0.000
Cl 1.692 5.950 0.000
Os 0.000 0.000 0.000
In 3.821 3.821 0.000
```

=====

VASP calculation (PBE) on LiZn6Rh after structural relaxation.

Computed properties:
- SG: Amm2
- ΔE to the lowest computed polymorph: 0.0000 eV/atom
- Total moment: 0.000 μB/f.u.
- DFT formation energy: -0.232 eV/atom
- Mass density: 7.33 Mg/m³

The structure in extended XYZ format:
```
8
Lattice="3.978 0.000 0.000 0.000 5.235 -1.160 0.000 0.637 5.324" Properties=species:S:1:pos:R:3 pbc="T T T"
Li 1.989 1.210 4.516
Zn 1.989 0.895 1.854
Zn 1.989 3.827 3.933
Zn 0.000 2.025 0.217
Zn 0.000 4.998 2.325
Zn 0.000 2.402 2.836
Zn 0.000 4.621 -0.294
Rh 1.989 3.512 1.270
```

=====

VASP calculation (PBE) on RbGaHgAu after structural relaxation.

Computed properties:
- SG: R3m
- Total moment: 0.000 μB/f.u.
- DFT formation energy: -0.179 eV/atom
- Mass density: 7.47 Mg/m³

The structure in extended XYZ format:
```
4
Lattice="-1.832 2.127 -3.732 -4.283 1.847 0.234 0.507 6.976 0.805" Properties=species:S:1:pos:R:3 pbc="T T T"
Rb -4.695 7.126 -2.399
Ga -3.691 3.505 -2.034
Hg 0.414 6.770 0.733
Au -1.657 2.170 -0.871
```

=====

VASP calculation (PBE) on Ba2ZnIr after structural relaxation.

Computed properties:
- SG: P4mm
- Total moment: 0.000 μB/f.u.
- DFT formation energy: 0.054 eV/atom
- Mass density: 6.99 Mg/m³

The structure in extended XYZ format:
```
4
Lattice="3.678 0.000 0.000 0.000 3.678 0.000 0.000 0.000 9.341" Properties=species:S:1:pos:R:3 pbc="T T T"
Ba 0.000 0.000 8.459
Ba 1.839 1.839 3.192
Ir 0.000 0.000 5.498
Zn 1.839 1.839 6.203
```

=====

VASP calculation (PBE) on MgZn2Co after structural relaxation.

Computed properties:
- SG: I4/mmm
- Total moment: 0.789 μB/f.u.
- DFT formation energy: -0.032 eV/atom
- Mass density: 6.32 Mg/m³

The structure in extended XYZ format:
```
4
Lattice="4.823 0.010 0.000 1.923 4.423 0.000 -3.373 -2.217 2.640" Properties=species:S:1:pos:R:3 pbc="T T T"
Zn 0.000 0.000 0.000
Zn 3.373 2.217 0.000
Co 0.962 2.212 1.320
Mg 2.412 0.005 1.320
```

=====

VASP calculation (PBE) on Ac4CS2Cl after structural relaxation.

Computed properties:
- SG: P2/m
- Total moment: 0.000 μB/f.u.
- E_form (uncorrected): -1.3496 eV/atom
- Mass density: 7.71 Mg/m³

The structure in extended XYZ format:
```
8
Lattice="-0.031 -3.899 1.555 7.275 -0.381 -0.808 3.245 2.496 6.322" Properties=species:S:1:pos:R:3 pbc="T T T"
Ac 7.761 1.524 3.978
Ac 2.727 -3.308 3.092
Ac 6.181 -1.521 1.977
Ac 4.308 -0.263 5.092
C 5.260 1.058 2.757
S 3.245 2.496 6.322
S 1.607 -0.701 3.939
Cl 6.867 0.356 6.696
```

=====

VASP calculation (PBE) on Hf6Bi3Au after structural relaxation.

Computed properties:
- SG: Cmc2_1
- Total moment: 0.000 μB/f.u.
- DFT formation energy: -0.017 eV/atom
- Mass density: 12.70 Mg/m³

The structure in extended XYZ format:
```
20
Lattice="6.732 0.000 0.000 0.000 8.797 -0.430 0.000 -2.382 8.480" Properties=species:S:1:pos:R:3 pbc="T T T"
Hf 1.138 5.205 4.565
Hf 4.505 3.288 6.093
Hf 1.885 1.911 7.825
Hf 5.252 7.202 3.609
Hf 1.004 -1.165 7.510
Hf 4.019 0.309 6.335
Hf 0.653 6.106 1.715
Hf 4.370 7.580 0.540
Hf 1.885 -0.787 4.440
Hf 5.252 4.504 0.224
Hf 1.138 3.127 1.957
Hf 4.505 1.210 3.485
Bi 3.584 6.133 6.042
Bi 0.218 4.521 7.327
Bi 2.029 2.311 4.739
Bi 5.395 4.104 3.311
Bi 0.218 0.282 2.008
Bi 3.584 1.894 0.723
Au 6.563 0.808 5.938
Au 3.197 5.608 2.112
```

=====

VASP calculation (PBE) on Hf8Al2Os after structural relaxation.

Computed properties:
- SG: C2/m
- Total moment: 0.000 μB/f.u.
- DFT formation energy: -0.058 eV/atom
- Mass density: 12.03 Mg/m³

The structure in extended XYZ format:
```
11
Lattice="5.108 -0.334 -0.502 -1.319 7.365 -0.475 -1.319 -3.275 6.614" Properties=species:S:1:pos:R:3 pbc="T T T"
Hf 2.470 4.144 3.569
Hf 2.470 1.697 5.199
Hf -0.074 2.443 3.667
Hf 1.235 5.009 0.733
Hf 1.235 -1.253 4.905
Hf 2.544 1.313 1.971
Hf 0.000 2.059 0.439
Hf 0.000 -0.388 2.069
Al -1.319 -0.071 4.480
Al -1.319 4.162 1.660
Os 2.554 -0.167 -0.251
```

=====

VASP calculation (PBE) on PuMn2Pd after structural relaxation.

Computed properties:
- SG: R-3m
- ΔE to the lowest computed polymorph: 0.1280 eV/atom
- Total moment: 0.099 μB/f.u.
- DFT formation energy: 0.003 eV/atom
- Mass density: 11.89 Mg/m³

The structure in extended XYZ format:
```
4
Lattice="-1.139 1.178 4.268 -3.960 -1.425 1.785 -0.093 -3.000 3.252" Properties=species:S:1:pos:R:3 pbc="T T T"
Mn -4.100 -2.062 6.821
Mn -1.093 -1.185 2.484
Pd -2.596 -1.623 4.653
Pu 0.000 0.000 0.000
```

=====

VASP calculation (PBE) on In3ReP after structural relaxation.

Computed properties:
- SG: Pm-3m
- ΔE to the lowest computed polymorph: 0.0000 eV/atom
- Total moment: 2.849 μB/f.u.
- DFT formation energy: 0.946 eV/atom
- Mass density: 6.45 Mg/m³

The structure in extended XYZ format:
```
5
Lattice="-3.965 0.767 -3.350 -3.392 -0.044 4.004 0.557 5.191 0.529" Properties=species:S:1:pos:R:3 pbc="T T T"
Re 0.000 0.000 0.000
P -3.400 2.957 0.591
In -1.696 -0.022 2.002
In 0.279 2.596 0.264
In -1.983 0.383 -1.675
```

=====

VASP calculation (PBE) on TlSiI2N after structural relaxation.

Computed properties:
- SG: P4/mmm
- ΔE to the lowest computed polymorph: 1.2361 eV/atom
- Total moment: 0.016 μB/f.u.
- E_form (uncorrected): 1.2686 eV/atom
- Mass density: 5.35 Mg/m³

The structure in extended XYZ format:
```
5
Lattice="6.220 0.000 0.000 0.000 6.220 0.000 0.000 0.000 4.010" Properties=species:S:1:pos:R:3 pbc="T T T"
I 0.000 3.110 0.000
I 3.110 0.000 0.000
Tl 0.000 0.000 0.000
Si 3.110 3.110 2.005
N 0.000 0.000 2.005
```

=====

VASP calculation (PBE) on DyPuOsRh after structural relaxation.

Computed properties:
- SG: F-43m
- Total moment: 4.226 μB/f.u.
- DFT formation energy: -0.323 eV/atom
- Mass density: 14.66 Mg/m³

The structure in extended XYZ format:
```
4
Lattice="-4.102 1.635 -1.935 -0.794 -0.485 -4.730 -3.328 -3.110 -1.579" Properties=species:S:1:pos:R:3 pbc="T T T"
Rh -6.168 -1.470 -6.184
Dy -4.112 -0.980 -4.122
Os -2.056 -0.490 -2.061
Pu 0.000 0.000 0.000
```

=====

| no. | final energy (eV for the cell shown) |
| --- | --- |
| 1 | -37.7 |
| 2 | -18.8 |
| 3 | -8.3 |
| 4 | -13.8 |
| 5 | -11.4 |
| 6 | -46.6 |
| 7 | -149.6 |
| 8 | -99.0 |
| 9 | -37.9 |
| 10 | -21.3 |
| 11 | -12.9 |
| 12 | -38.8 |